Record 1
SiMoRu2 | PBE | optimized geometry

## Properties
The total energy is -70.82 eV/cell.

The structure in CIF format:
```
data_SiMoRu2
_chemical_formula_sum 'Si2 Mo2 Ru4'
_space_group_name_H-M_alt 'I -4 m 2'
_space_group_IT_number 119
_space_group_name_Hall 'I -4 -2'
_cell_length_a 3.702
_cell_length_b 3.702
_cell_length_c 8.189
_cell_angle_alpha 90.00
_cell_angle_beta 90.00
_cell_angle_gamma 90.00
loop_
_atom_site_label
_atom_site_type_symbol
_atom_site_fract_x
_atom_site_fract_y
_atom_site_fract_z
_atom_site_occupancy
Si1 Si 0.000 0.000 0.000 1
Mo1 Mo 0.000 0.500 0.750 1
Ru1 Ru 0.000 0.000 0.500 1
Ru2 Ru 0.000 0.500 0.250 1
```

=====

Record 2
Pr6NdHo | PBE | optimized geometry

## Properties
For the formation energy, the calculation gives 0.02 eV per atom.

The structure in CIF format:
```
data_Pr6NdHo
_chemical_formula_sum 'Pr24 Nd4 Ho4'
_space_group_name_H-M_alt 'F m m m'
_space_group_IT_number 69
_space_group_name_Hall '-F 2 2'
_cell_length_a 7.403
_cell_length_b 10.394
_cell_length_c 14.757
_cell_angle_alpha 90.00
_cell_angle_beta 90.00
_cell_angle_gamma 90.00
loop_
_atom_site_label
_atom_site_type_symbol
_atom_site_fract_x
_atom_site_fract_y
_atom_site_fract_z
_atom_site_occupancy
Pr1 Pr 0.000 0.000 0.249 1
Pr2 Pr 0.250 0.250 0.123 1
Nd1 Nd 0.000 0.000 0.500 1
Ho1 Ho 0.000 0.000 0.000 1
```

=====

Record 3
LiAl2Ir | PBE | optimized geometry

## Properties
For the formation energy, the calculation gives -0.57 eV per atom.

The structure in CIF format:
```
data_LiAl2Ir
_chemical_formula_sum 'Li2 Al4 Ir2'
_space_group_name_H-M_alt 'C m m m'
_space_group_IT_number 65
_space_group_name_Hall '-C 2 2'
_cell_length_a 6.043
_cell_length_b 6.051
_cell_length_c 3.017
_cell_angle_alpha 90.00
_cell_angle_beta 90.00
_cell_angle_gamma 90.00
loop_
_atom_site_label
_atom_site_type_symbol
_atom_site_fract_x
_atom_site_fract_y
_atom_site_fract_z
_atom_site_occupancy
Li1 Li 0.000 0.000 0.000 1
Al1 Al 0.250 0.250 0.500 1
Ir1 Ir 0.000 0.500 0.000 1
```

=====

Record 4
YCu | PBE | optimized geometry

## Properties
For the formation energy, the calculation gives -0.12 eV per atom.

The structure in CIF format:
```
data_YCu
_chemical_formula_sum 'Y6 Cu6'
_space_group_name_H-M_alt 'R -3 m'
_space_group_IT_number 166
_space_group_name_Hall '-R 3 2"'
_cell_length_a 4.1395
_cell_length_b 4.1395
_cell_length_c 19.3074
_cell_angle_alpha 90.00
_cell_angle_beta 90.00
_cell_angle_gamma 120.00
loop_
_atom_site_label
_atom_site_type_symbol
_atom_site_fract_x
_atom_site_fract_y
_atom_site_fract_z
_atom_site_occupancy
Y1 Y 0.0000 0.0000 0.0915 1
Cu1 Cu 0.0000 0.0000 0.3317 1
```

=====

Record 5
InH3Se | PBE | optimized geometry

## Properties
The total energy is -13.54 eV/cell.

The structure in CIF format:
```
data_InH3Se
_chemical_formula_sum 'In1 H3 Se1'
_space_group_name_H-M_alt 'P m -3 m'
_space_group_IT_number 221
_space_group_name_Hall '-P 4 2 3'
_cell_length_a 3.974
_cell_length_b 3.974
_cell_length_c 3.974
_cell_angle_alpha 90.00
_cell_angle_beta 90.00
_cell_angle_gamma 90.00
loop_
_atom_site_label
_atom_site_type_symbol
_atom_site_fract_x
_atom_site_fract_y
_atom_site_fract_z
_atom_site_occupancy
In1 In 0.000 0.000 0.000 1
H1 H 0.000 0.500 0.500 1
Se1 Se 0.500 0.500 0.500 1
```

=====

Record 6
CsNa2SCl | PBE | optimized geometry

## Properties
The total energy is -15.61 eV/cell.

The structure in CIF format:
```
data_CsNa2SCl
_chemical_formula_sum 'Cs1 Na2 S1 Cl1'
_space_group_name_H-M_alt 'P 4/m m m'
_space_group_IT_number 123
_space_group_name_Hall '-P 4 2'
_cell_length_a 5.213
_cell_length_b 5.213
_cell_length_c 7.009
_cell_angle_alpha 90.00
_cell_angle_beta 90.00
_cell_angle_gamma 90.00
loop_
_atom_site_label
_atom_site_type_symbol
_atom_site_fract_x
_atom_site_fract_y
_atom_site_fract_z
_atom_site_occupancy
Cs1 Cs 0.000 0.000 0.000 1
Na1 Na 0.000 0.500 0.500 1
S1 S 0.000 0.000 0.500 1
Cl1 Cl 0.500 0.500 0.000 1
```

=====

Record 7
TbPm2Pb | PBE | optimized geometry

## Properties
For the formation energy, the calculation gives -0.15 eV per atom.

The structure in CIF format:
```
data_TbPm2Pb
_chemical_formula_sum 'Tb3 Pm6 Pb3'
_space_group_name_H-M_alt 'R 3 m'
_space_group_IT_number 160
_space_group_name_Hall 'R 3 -2"'
_cell_length_a 3.6565
_cell_length_b 3.6565
_cell_length_c 33.6310
_cell_angle_alpha 90.00
_cell_angle_beta 90.00
_cell_angle_gamma 120.00
loop_
_atom_site_label
_atom_site_type_symbol
_atom_site_fract_x
_atom_site_fract_y
_atom_site_fract_z
_atom_site_occupancy
Tb1 Tb 0.0000 0.0000 0.0000 1
Pm1 Pm 0.0000 0.0000 0.5806 1
Pm2 Pm 0.0000 0.0000 0.7528 1
Pb1 Pb 0.0000 0.0000 0.1664 1
```

=====

Record 8
Sr2EuIn | PBE | optimized geometry

## Properties
For the formation energy, the calculation gives 0.15 eV per atom.

The structure in CIF format:
```
data_Sr2EuIn
_chemical_formula_sum 'Sr6 Eu3 In3'
_space_group_name_H-M_alt 'R -3 m'
_space_group_IT_number 166
_space_group_name_Hall '-R 3 2"'
_cell_length_a 3.9833
_cell_length_b 3.9833
_cell_length_c 40.6945
_cell_angle_alpha 90.00
_cell_angle_beta 90.00
_cell_angle_gamma 120.00
loop_
_atom_site_label
_atom_site_type_symbol
_atom_site_fract_x
_atom_site_fract_y
_atom_site_fract_z
_atom_site_occupancy
Sr1 Sr 0.0000 0.0000 0.0839 1
Eu1 Eu 0.0000 0.0000 0.5000 1
In1 In 0.0000 0.0000 0.0000 1
```

=====

Record 9
NdHg2Sb2 | PBE | optimized geometry

## Properties
The total energy is -62.79 eV/cell.

The structure in CIF format:
```
data_NdHg2Sb2
_chemical_formula_sum 'Nd4 Hg8 Sb8'
_space_group_name_H-M_alt 'C m c m'
_space_group_IT_number 63
_space_group_name_Hall '-C 2c 2'
_cell_length_a 4.484
_cell_length_b 27.411
_cell_length_c 4.468
_cell_angle_alpha 90.00
_cell_angle_beta 90.00
_cell_angle_gamma 90.00
loop_
_atom_site_label
_atom_site_type_symbol
_atom_site_fract_x
_atom_site_fract_y
_atom_site_fract_z
_atom_site_occupancy
Nd1 Nd 0.000 0.158 0.250 1
Hg1 Hg 0.000 0.045 0.750 1
Hg2 Hg 0.000 0.452 0.750 1
Sb1 Sb 0.000 0.250 0.750 1
Sb2 Sb 0.000 0.362 0.250 1
```

=====

Record 10
HPb3Cl4OF | PBE | optimized geometry

## Properties
The total energy is -74.87 eV/cell.

The structure in CIF format:
```
data_HPb3Cl4OF
_chemical_formula_sum 'H2 Pb6 Cl8 O2 F2'
_space_group_name_H-M_alt 'P -1'
_space_group_IT_number 2
_cell_length_a 7.234
_cell_length_b 8.019
_cell_length_c 9.473
_cell_angle_alpha 109.56
_cell_angle_beta 96.77
_cell_angle_gamma 95.05
loop_
_space_group_symop_operation_xyz
'x,y,z'
'-x,-y,-z'
loop_
_atom_site_label
_atom_site_type_symbol
_atom_site_fract_x
_atom_site_fract_y
_atom_site_fract_z
_atom_site_occupancy
H1 H 0.027 0.225 0.471 1
Pb1 Pb 0.230 0.807 0.890 1
Pb2 Pb 0.318 0.323 0.953 1
Pb3 Pb 0.355 0.198 0.367 1
Cl1 Cl 0.047 0.888 0.174 1
Cl2 Cl 0.142 0.417 0.209 1
Cl3 Cl 0.310 0.583 0.596 1
Cl4 Cl 0.400 0.090 0.671 1
O1 O 0.377 0.601 0.962 1
F1 F 0.404 0.117 0.103 1
```

=====

no.,D(E_F) (states/eV/cell)
1,8.05
2,52.77
3,2.26
4,13.00
5,1.43
6,0.00
7,13.16
8,33.64
9,8.88
10,1.68